1.
K2Zr3OF12 (PBE, relaxed); magnetic moment = 0.05 μB per formula unit; density = 3.83 g cm⁻³; SG = R-3m, No. 166; crystal system = trigonal; uncorrected formation energy = -3545 meV/atom; electronic total energy = -6.614 eV/atom
1.0
3.906 2.255 9.770
-3.906 2.255 9.770
0.000 -4.510 9.770
K Zr O F
4 6 2 24
direct
0.000 0.000 0.000
0.138 0.138 0.138
0.500 0.500 0.500
0.862 0.862 0.862
0.032 0.578 0.578
0.422 0.422 0.968
0.422 0.968 0.422
0.578 0.032 0.578
0.578 0.578 0.032
0.968 0.422 0.422
0.285 0.285 0.285
0.715 0.715 0.715
0.000 0.350 0.650
0.000 0.650 0.350
0.085 0.085 0.598
0.085 0.598 0.085
0.088 0.652 0.652
0.296 0.296 0.632
0.296 0.632 0.296
0.348 0.348 0.912
0.348 0.912 0.348
0.350 0.000 0.650
0.350 0.650 0.000
0.368 0.704 0.704
0.402 0.915 0.915
0.598 0.085 0.085
0.632 0.296 0.296
0.650 0.000 0.350
0.650 0.350 0.000
0.652 0.088 0.652
0.652 0.652 0.088
0.704 0.368 0.704
0.704 0.704 0.368
0.912 0.348 0.348
0.915 0.402 0.915
0.915 0.915 0.402

***

2.
Cr6Ir7 (PBE, relaxed); magnetic moment = 2.34 μB per formula unit; density = 14.25 g cm⁻³; E_form = 212 kJ/mol of formula units; SG = R-3m, No. 166; crystal system = trigonal; electronic total energy = -9.044 eV/atom
1.0
2.553 1.474 8.554
-2.553 1.474 8.554
0.000 -2.948 8.554
Cr Ir
6 7
direct
0.042 0.042 0.042
0.148 0.148 0.148
0.336 0.336 0.336
0.664 0.664 0.664
0.852 0.852 0.852
0.958 0.958 0.958
0.079 0.585 0.585
0.415 0.415 0.921
0.415 0.921 0.415
0.500 0.500 0.500
0.585 0.079 0.585
0.585 0.585 0.079
0.921 0.415 0.415

***

3.
Tl6In4Bi (PBE, relaxed); magnetic moment = 0.00 μB per formula unit; density = 9.09 g cm⁻³; E_form = 83 kJ/mol of formula units; SG = I-42m, No. 121; crystal system = tetragonal; electronic total energy = -2.561 eV/atom
1.0
-3.236 3.236 8.265
3.236 -3.236 8.265
3.236 3.236 -8.265
Tl In Bi
6 4 1
direct
0.000 0.500 0.500
0.126 0.126 0.613
0.487 0.874 0.000
0.500 0.000 0.500
0.513 0.513 0.387
0.874 0.487 0.000
0.055 0.696 0.000
0.304 0.304 0.359
0.696 0.055 0.000
0.945 0.945 0.641
0.500 0.500 0.000

***

4.
Pm2Sm5Al (PBE, relaxed); magnetic moment = 0.00 μB per formula unit; density = 7.09 g cm⁻³; E_form = -42 kJ/mol of formula units; SG = I4/mmm, No. 139; crystal system = tetragonal; electronic total energy = -4.659 eV/atom
1.0
-2.470 2.470 10.258
2.470 -2.470 10.258
2.470 2.470 -10.258
Pm Sm Al
2 5 1
direct
0.247 0.247 0.000
0.753 0.753 0.000
0.000 0.000 0.000
0.118 0.618 0.500
0.382 0.882 0.500
0.618 0.118 0.500
0.882 0.382 0.500
0.500 0.500 0.000

***

5.
SbTe (PBE, relaxed); distance to the lowest polymorph of the same formula = 178 meV/atom; magnetic moment = 0.00 μB per formula unit; density = 6.19 g cm⁻³; SG = Pmmn, No. 59; crystal system = orthorhombic; uncorrected formation energy = 73 meV/atom; electronic total energy = -3.559 eV/atom
1.0
3.853 0.000 0.000
0.000 4.106 0.000
0.000 0.000 8.458
Sb Te
2 2
direct
0.250 0.250 0.110
0.750 0.750 0.890
0.250 0.750 0.345
0.750 0.250 0.655

***

6.
Ac3PrHg6 (PBE, relaxed); distance to the lowest polymorph of the same formula = 0 meV/atom; magnetic moment = 0.00 μB per formula unit; density = 10.96 g cm⁻³; E_form = -417 kJ/mol of formula units; SG = P2_1/m, No. 11; crystal system = monoclinic; electronic total energy = -2.323 eV/atom
1.0
9.925 0.000 0.000
0.000 5.466 0.000
-3.785 0.000 11.312
Ac Pr Hg
6 2 12
direct
0.008 0.250 0.381
0.150 0.750 0.212
0.280 0.250 0.988
0.720 0.750 0.012
0.850 0.250 0.788
0.992 0.750 0.619
0.439 0.250 0.603
0.561 0.750 0.397
0.035 0.750 0.916
0.172 0.250 0.697
0.263 0.750 0.505
0.357 0.250 0.312
0.364 0.750 0.806
0.445 0.750 0.116
0.555 0.250 0.884
0.636 0.250 0.194
0.643 0.750 0.688
0.737 0.250 0.495
0.828 0.750 0.303
0.965 0.250 0.084

***

7.
Mg2Te (PBE, relaxed); magnetic moment = 0.00 μB per formula unit; density = 3.64 g cm⁻³; SG = I4/mcm, No. 140; crystal system = tetragonal; uncorrected formation energy = -357 meV/atom; electronic total energy = -2.467 eV/atom
1.0
-3.118 3.118 4.135
3.118 -3.118 4.135
3.118 3.118 -4.135
Mg Te
4 2
direct
0.174 0.674 0.848
0.326 0.174 0.500
0.674 0.826 0.500
0.826 0.326 0.152
0.250 0.250 0.000
0.750 0.750 0.000

***

8.
SrAsS2Cl (PBE, relaxed); distance to the lowest polymorph of the same formula = 0 meV/atom; magnetic moment = 0.00 μB per formula unit; density = 3.61 g cm⁻³; SG = P4/mmm, No. 123; crystal system = tetragonal; uncorrected formation energy = -876 meV/atom; electronic total energy = -4.163 eV/atom
1.0
4.945 0.000 0.000
0.000 4.945 0.000
0.000 0.000 4.937
Sr As S Cl
1 1 2 1
direct
0.000 0.000 0.000
0.500 0.500 0.500
0.000 0.500 0.500
0.500 0.000 0.500
0.500 0.500 0.000